Record 1
A plane-wave DFT calculation with PBE-GGA was carried out for a geometry-optimized ScSn2Mo2 structure.

DFT total energy ... -7.1207 eV per atom
D(E_F) ... 1.154 states/eV/atom
Spin magnetization ... 0.00 μB per formula unit
DFT formation energy ... 0.079 eV/atom

POSCAR file:
```
ScSn2Mo2
1.0
7.6561 0.0000 0.0000
0.0000 7.6561 0.0000
0.0000 0.0000 3.3541
Sc Mo Sn
2 4 4
Direct
0.0000 0.0000 0.0000 Sc
0.5000 0.5000 0.0000 Sc
0.1459 0.6459 0.5000 Mo
0.6459 0.8541 0.5000 Mo
0.8541 0.3541 0.5000 Mo
0.3541 0.1459 0.5000 Mo
0.3524 0.8524 0.0000 Sn
0.8524 0.6476 0.0000 Sn
0.6476 0.1476 0.0000 Sn
0.1476 0.3524 0.0000 Sn
```



Record 2
A plane-wave DFT calculation with PBE-GGA was carried out for a geometry-optimized ScSnMo2 structure.

DFT total energy ... -7.2680 eV per atom
D(E_F) ... 1.054 states/eV/atom
Spin magnetization ... 0.00 μB per formula unit
DFT formation energy ... 0.731 eV/atom

POSCAR file:
```
ScSnMo2
1.0
7.5204 0.0000 0.0000
0.0000 7.5204 0.0000
3.7602 3.7602 2.8131
Sc Mo Sn
2 4 2
Direct
0.5000 0.5000 0.0000 Sc
0.2500 0.7500 0.5000 Sc
0.6366 0.1250 0.2500 Mo
0.1134 0.6250 0.2500 Mo
0.3750 0.3634 0.7500 Mo
0.8750 0.8866 0.7500 Mo
0.0000 0.0000 0.0000 Sn
0.7500 0.2500 0.5000 Sn
```



Record 3
A plane-wave DFT calculation with PBE-GGA was carried out for a geometry-optimized ScSnMo3 structure.

DFT total energy ... -6.8000 eV per atom
D(E_F) ... 1.432 states/eV/atom
Spin magnetization ... 0.00 μB per formula unit
DFT formation energy ... 1.766 eV/atom

POSCAR file:
```
ScSnMo3
1.0
4.9095 0.0000 0.0000
0.0000 4.9095 0.0000
0.0000 0.0000 4.9095
Sc Mo Sn
1 3 1
Direct
0.5000 0.5000 0.5000 Sc
0.0000 0.5000 0.0000 Mo
0.0000 0.0000 0.5000 Mo
0.5000 0.0000 0.0000 Mo
0.0000 0.0000 0.0000 Sn
```



Record 4
A plane-wave DFT calculation with PBE-GGA was carried out for a geometry-optimized ScSn2Mo2 structure.

DFT total energy ... -7.0685 eV per atom
D(E_F) ... 0.598 states/eV/atom
Spin magnetization ... 0.41 μB per formula unit
DFT formation energy ... 0.131 eV/atom

POSCAR file:
```
ScSn2Mo2
1.0
7.8887 0.0000 0.0000
0.0000 7.8887 0.0000
0.0000 0.0000 3.2304
Sc Mo Sn
2 4 4
Direct
0.0000 0.0000 0.0000 Sc
0.5000 0.5000 0.0000 Sc
0.3875 0.8875 0.0000 Mo
0.8875 0.6125 0.0000 Mo
0.6125 0.1125 0.0000 Mo
0.1125 0.3875 0.0000 Mo
0.1792 0.6792 0.5000 Sn
0.6792 0.8208 0.5000 Sn
0.8208 0.3208 0.5000 Sn
0.3208 0.1792 0.5000 Sn
```



Record 5
A plane-wave DFT calculation with PBE-GGA was carried out for a geometry-optimized ScSn2Mo2 structure.

DFT total energy ... -7.0504 eV per atom
D(E_F) ... 0.984 states/eV/atom
Spin magnetization ... 0.00 μB per formula unit
DFT formation energy ... 0.149 eV/atom

POSCAR file:
```
ScSn2Mo2
1.0
3.9257 0.0000 0.0000
0.0000 3.9257 0.0000
1.9628 1.9628 6.7591
Sc Mo Sn
1 2 2
Direct
0.0000 0.0000 0.0000 Sc
0.7500 0.2500 0.5000 Mo
0.2500 0.7500 0.5000 Mo
0.3960 0.3960 0.2080 Sn
0.6040 0.6040 0.7920 Sn
```



Record 6
A plane-wave DFT calculation with PBE-GGA was carried out for a geometry-optimized ScSn3Mo structure.

DFT total energy ... -5.3849 eV per atom
D(E_F) ... 0.890 states/eV/atom
Spin magnetization ... 0.80 μB per formula unit
DFT formation energy ... 0.449 eV/atom

POSCAR file:
```
ScSn3Mo
1.0
5.2188 0.0000 0.0000
0.0000 5.2188 0.0000
0.0000 0.0000 5.2188
Sc Mo Sn
1 1 3
Direct
0.5000 0.5000 0.5000 Sc
0.0000 0.0000 0.0000 Mo
0.0000 0.5000 0.0000 Sn
0.0000 0.0000 0.5000 Sn
0.5000 0.0000 0.0000 Sn
```



Record 7
A plane-wave DFT calculation with PBE-GGA was carried out for a geometry-optimized ScSnMo3 structure.

DFT total energy ... -6.8557 eV per atom
D(E_F) ... 1.173 states/eV/atom
Spin magnetization ... 0.00 μB per formula unit
DFT formation energy ... 1.710 eV/atom

POSCAR file:
```
ScSnMo3
1.0
4.6710 0.0000 0.0000
0.0000 4.6710 0.0000
0.0000 0.0000 4.6710
Sc Mo Sn
1 3 1
Direct
0.0000 0.0000 0.0000 Sc
0.0000 0.5000 0.0000 Mo
0.0000 0.0000 0.5000 Mo
0.5000 0.0000 0.0000 Mo
0.5000 0.5000 0.5000 Sn
```



Record 8
A plane-wave DFT calculation with PBE-GGA was carried out for a geometry-optimized ScSnTe2Mo structure.

DFT total energy ... -4.7779 eV per atom
D(E_F) ... 0.735 states/eV/atom
Spin magnetization ... 4.40 μB per formula unit
ΔE_f (raw) ... 712 meV/atom

POSCAR file:
```
ScSnTe2Mo
1.0
-4.6213 -2.5507 1.4937
2.0610 -0.7986 5.0128
-2.1161 4.7904 1.6332
Sc Mo Te Sn
1 1 2 1
Direct
0.0000 0.0000 0.0000 Sc
0.5000 0.5000 0.5000 Mo
0.0000 0.0000 0.5000 Te
0.5000 0.0000 0.0000 Te
0.0000 0.5000 0.0000 Sn
```